## one
First-principles (GGA-PBE) data for Ta2ZnPt after structural relaxation, as listed in Alexandria via LeMat-Bulk.

abc: 5.0357 5.0357 4.9148
angles: 80.40 80.40 32.98
With the nearest neighbours (Å) after each atom.
Fractional coordinates of all 4 atoms:
Zn: 0.7500 0.7500 0.7500  4 Pt 2.84, 6 Ta 2.85-2.93, 2 Zn 2.86
Pt: 0.2500 0.2500 0.2500  4 Zn 2.84, 6 Ta 2.85-2.94, 2 Pt 2.86
Ta: 0.9951 0.9951 0.9997  6 Ta 2.83-2.86, 3 Zn 2.85-2.93, 3 Pt 2.85-2.94
Ta: 0.5049 0.5049 0.5003  6 Ta 2.83-2.86, 3 Zn 2.85-2.93, 3 Pt 2.85-2.94

Calculated values
density of states at the Fermi level	3.28	states/eV/cell
total moment	0.0	Bohr magnetons per cell
SG	C2/m, No. 12

***

## two
First-principles (GGA-PBE) data for Ta2ZnPt after structural relaxation, as listed in Alexandria via LeMat-Bulk.

abc: 7.3575 7.3575 5.8560
angles: 51.08 51.08 90.00
With the nearest neighbours (Å) after each atom.
Fractional coordinates of all 8 atoms:
Ta: 0.6448 0.1250 0.2500  2 Pt 2.59, 2 Ta 2.70, 2 Zn 2.79
Ta: 0.8750 0.8948 0.7500  2 Pt 2.59, 2 Ta 2.70, 2 Zn 2.79
Ta: 0.3750 0.3552 0.7500  2 Pt 2.59, 2 Ta 2.70, 2 Zn 2.79
Ta: 0.1052 0.6250 0.2500  2 Pt 2.59, 2 Ta 2.70, 2 Zn 2.79
Zn: 0.2500 0.7500 0.5000  2 Pt 2.69, 4 Ta 2.79
Zn: 0.5000 0.5000 0.0000  2 Pt 2.69, 4 Ta 2.79
Pt: 0.0000 0.0000 0.0000  4 Ta 2.59, 2 Zn 2.69
Pt: 0.7500 0.2500 0.5000  4 Ta 2.59, 2 Zn 2.69

Calculated values
density of states at the Fermi level	6.74	states/eV/cell
total moment	0.0	Bohr magnetons per cell
SG	I-42d, No. 122

***

Taking the most stable structure as the zero point, the relative energies in meV per atom are one 0; two 377.